Entry from Alexandria: a geometry-optimized LiErGa4Ru2 structure (PBE-GGA).

Cell lengths 4.2495, 4.2495, 8.6838 Å; angles 75.84, 75.84, 60.00 degrees
Fractional positions:
Li 0.5000 0.5000 0.5000
Er 0.0000 0.0000 0.0000
Ga 0.3975 0.3975 0.8075
Ga 0.8691 0.8691 0.3928
Ga 0.1309 0.1309 0.6072
Ga 0.6025 0.6025 0.1925
Ru 0.7645 0.7645 0.7064
Ru 0.2355 0.2355 0.2936

Results
The calculation puts the formation energy at -3.2 eV per formula unit. Its final energy is -5.043 eV/atom.